<a>
The following is a DFT calculation (PBE-GGA) of BiAsN after structural relaxation.

abc: 6.072 6.071 10.822
angles: 90.00 97.57 90.00
Sites, in units of the cell vectors:
Bi: 0.224 0.000 0.387
Bi: 0.276 0.500 0.613
Bi: 0.724 0.500 0.387
Bi: 0.776 0.000 0.613
As: 0.216 0.500 0.355
As: 0.284 0.000 0.645
As: 0.716 0.000 0.355
As: 0.784 0.500 0.645
N: 0.067 0.000 0.041
N: 0.433 0.500 0.959
N: 0.567 0.500 0.041
N: 0.933 0.000 0.959

## Properties
Space group: No. 12

---

<b>
The following is a DFT calculation (PBE-GGA) of BiAsN after structural relaxation.

abc: 4.040 4.042 14.373
angles: 88.29 82.16 60.02
Sites, in units of the cell vectors:
Bi: 0.000 0.000 0.000
Bi: 0.442 0.733 0.395
As: 0.171 0.380 0.286
As: 0.604 0.686 0.109
N: 0.663 0.945 0.725
N: 0.812 0.703 0.671

## Properties
Fermi-level density of states (states/eV/f.u.): 0.2
Space group: No. 1

---

Last place for stability: <a>

---

<a>
The following is a DFT calculation (PBE-GGA) of BiAsSeN2 after structural relaxation.

abc: 4.050 4.050 5.118
angles: 90.00 90.00 90.00
Sites, in units of the cell vectors:
Bi: 0.000 0.000 0.000
As: 0.500 0.500 0.500
Se: 0.500 0.500 0.000
N: 0.000 0.500 0.500
N: 0.500 0.000 0.500

## Properties
Fermi-level density of states (states/eV/f.u.): 2.2
Space group: No. 123

---

<b>
The following is a DFT calculation (PBE-GGA) of BiAsSeN2 after structural relaxation.

abc: 4.271 4.271 5.828
angles: 90.00 90.00 90.00
Sites, in units of the cell vectors:
Bi: 0.000 0.000 0.000
As: 0.500 0.500 0.500
Se: 0.000 0.000 0.500
N: 0.000 0.500 0.000
N: 0.500 0.000 0.000

## Properties
Fermi-level density of states (states/eV/f.u.): 3.7
Space group: No. 123

---

Last place for stability: <b>

---

<a>
The following is a DFT calculation (PBE-GGA) of BiTeAsN2 after structural relaxation.

abc: 4.182 4.182 5.419
angles: 90.00 90.00 90.00
Sites, in units of the cell vectors:
Bi: 0.000 0.000 0.000
Te: 0.500 0.500 0.000
As: 0.500 0.500 0.500
N: 0.000 0.500 0.500
N: 0.500 0.000 0.500

## Properties
Fermi-level density of states (states/eV/f.u.): 3.6
Space group: No. 123

---

<b>
The following is a DFT calculation (PBE-GGA) of BiTeAsN2 after structural relaxation.

abc: 4.272 4.272 6.912
angles: 90.00 90.00 90.00
Sites, in units of the cell vectors:
Bi: 0.000 0.000 0.000
Te: 0.000 0.000 0.500
As: 0.500 0.500 0.500
N: 0.000 0.500 0.000
N: 0.500 0.000 0.000

## Properties
Fermi-level density of states (states/eV/f.u.): 3.6
Space group: No. 123

---

Last place for stability: <b>

---

<a>
The following is a DFT calculation (PBE-GGA) of BiTe2AsN after structural relaxation.

abc: 5.740 5.740 3.758
angles: 90.00 90.00 90.00
Sites, in units of the cell vectors:
Bi: 0.000 0.000 0.000
Te: 0.000 0.500 0.500
Te: 0.500 0.000 0.500
As: 0.500 0.500 0.500
N: 0.500 0.500 0.000

## Properties
Fermi-level density of states (states/eV/f.u.): 3.1
Space group: No. 123

---

<b>
The following is a DFT calculation (PBE-GGA) of BiTe2AsN after structural relaxation.

abc: 5.930 5.930 4.189
angles: 90.00 90.00 90.00
Sites, in units of the cell vectors:
Bi: 0.000 0.000 0.000
Te: 0.000 0.500 0.000
Te: 0.500 0.000 0.000
As: 0.500 0.500 0.500
N: 0.000 0.000 0.500

## Properties
Fermi-level density of states (states/eV/f.u.): 7.0
Space group: No. 123

---

Last place for stability: <b>